No. 1
K3Ti2NbO8: relaxed, PBE.

The structure in CIF format:
```
data_K3Ti2NbO8
_chemical_formula_sum 'K3 Ti2 Nb1 O8'
_symmetry_space_group_name_H-M 'P -3 m 1'
_symmetry_Int_Tables_number 164
_symmetry_space_group_name_Hall '-P 3 2"'
_cell_length_a 5.8868
_cell_length_b 5.8868
_cell_length_c 7.5985
_cell_angle_alpha 90.00
_cell_angle_beta 90.00
_cell_angle_gamma 120.00
loop_
_atom_site_label
_atom_site_fract_x
_atom_site_fract_y
_atom_site_fract_z
K1 0.0000 0.0000 0.0000
K2 0.3333 0.6667 0.6955
Ti1 0.3333 0.6667 0.2564
Nb1 0.0000 0.0000 0.5000
O1 0.1611 0.3222 0.3452
O2 0.3333 0.6667 0.0312
```

final energy: -0.54894 Ry/atom
total moment: 0.00 μB per cell



No. 2
K3TiNb2O8: relaxed, PBE.

The structure in CIF format:
```
data_K3TiNb2O8
_chemical_formula_sum 'K3 Ti1 Nb2 O8'
_symmetry_space_group_name_H-M 'P -3 m 1'
_symmetry_Int_Tables_number 164
_symmetry_space_group_name_Hall '-P 3 2"'
_cell_length_a 5.9208
_cell_length_b 5.9208
_cell_length_c 7.6098
_cell_angle_alpha 90.00
_cell_angle_beta 90.00
_cell_angle_gamma 120.00
loop_
_atom_site_label
_atom_site_fract_x
_atom_site_fract_y
_atom_site_fract_z
K1 0.0000 0.0000 0.0000
K2 0.3333 0.6667 0.6723
Ti1 0.0000 0.0000 0.5000
Nb1 0.3333 0.6667 0.2456
O1 0.1613 0.3226 0.3411
O2 0.3333 0.6667 0.0061
```

final energy: -0.54922 Ry/atom
total moment: 1.01 μB per cell



No. 3
K2TiNbO6: relaxed, PBE.

The structure in CIF format:
```
data_K2TiNbO6
_chemical_formula_sum 'K12 Ti6 Nb6 O36'
_symmetry_space_group_name_H-M 'R -3 m'
_symmetry_Int_Tables_number 166
_symmetry_space_group_name_Hall '-R 3 2"'
_cell_length_a 5.8715
_cell_length_b 5.8715
_cell_length_c 28.9379
_cell_angle_alpha 90.00
_cell_angle_beta 90.00
_cell_angle_gamma 120.00
loop_
_atom_site_label
_atom_site_fract_x
_atom_site_fract_y
_atom_site_fract_z
K1 0.0000 0.0000 0.1332
K2 0.0000 0.0000 0.2797
Ti1 0.0000 0.0000 0.0000
Ti2 0.0000 0.0000 0.5000
Nb1 0.0000 0.0000 0.4020
O1 0.0066 0.5033 0.7050
O2 0.0439 0.5220 0.1219
```

final energy: -0.53567 Ry/atom
total moment: 6.11 μB per cell



No. 4
KTiNb2O8: relaxed, PBE.

The structure in CIF format:
```
data_KTiNb2O8
_chemical_formula_sum 'K2 Ti2 Nb4 O16'
_symmetry_space_group_name_H-M 'C 1 2/m 1'
_symmetry_Int_Tables_number 12
_cell_length_a 8.886
_cell_length_b 6.235
_cell_length_c 7.148
_cell_angle_alpha 90.00
_cell_angle_beta 101.99
_cell_angle_gamma 90.00
loop_
_symmetry_equiv_pos_as_xyz
'x,y,z'
'-x,-y,-z'
'-x,y,-z'
'x,-y,z'
'x+1/2,y+1/2,z'
'-x+1/2,-y+1/2,-z'
'-x+1/2,y+1/2,-z'
'x+1/2,-y+1/2,z'
loop_
_atom_site_label
_atom_site_fract_x
_atom_site_fract_y
_atom_site_fract_z
K1 0.000 0.000 0.000
Ti1 0.000 0.000 0.500
Nb1 0.081 0.500 0.222
O1 0.033 0.228 0.319
O2 0.139 0.500 0.981
O3 0.214 0.000 0.622
```

final energy: -0.59512 Ry/atom
total moment: 2.12 μB per cell



No. 5
K2Nb2TlO7: relaxed, PBE.

The structure in CIF format:
```
data_K2Nb2TlO7
_chemical_formula_sum 'K4 Nb4 Tl2 O14'
_symmetry_space_group_name_H-M 'C 1 2/m 1'
_symmetry_Int_Tables_number 12
_cell_length_a 5.681
_cell_length_b 5.680
_cell_length_c 11.629
_cell_angle_alpha 90.00
_cell_angle_beta 103.99
_cell_angle_gamma 90.00
loop_
_symmetry_equiv_pos_as_xyz
'x,y,z'
'-x,-y,-z'
'-x,y,-z'
'x,-y,z'
'x+1/2,y+1/2,z'
'-x+1/2,-y+1/2,-z'
'-x+1/2,y+1/2,-z'
'x+1/2,-y+1/2,z'
loop_
_atom_site_label
_atom_site_fract_x
_atom_site_fract_y
_atom_site_fract_z
K1 0.195 0.000 0.385
Nb1 0.106 0.500 0.202
Tl1 0.000 0.000 0.000
O1 0.000 0.500 0.000
O2 0.162 0.252 0.813
O3 0.182 0.500 0.368
```

final energy: -0.51472 Ry/atom
total moment: 0.00 μB per cell



No. 6
KNbTl2O6: relaxed, PBE.

The structure in CIF format:
```
data_KNbTl2O6
_chemical_formula_sum 'K4 Nb4 Tl8 O24'
_symmetry_space_group_name_H-M 'C 1 2/c 1'
_symmetry_Int_Tables_number 15
_cell_length_a 10.258
_cell_length_b 12.601
_cell_length_c 6.862
_cell_angle_alpha 90.00
_cell_angle_beta 115.77
_cell_angle_gamma 90.00
loop_
_symmetry_equiv_pos_as_xyz
'x,y,z'
'-x,-y,-z'
'-x,y,-z+1/2'
'x,-y,z+1/2'
'x+1/2,y+1/2,z'
'-x+1/2,-y+1/2,-z'
'-x+1/2,y+1/2,-z+1/2'
'x+1/2,-y+1/2,z+1/2'
loop_
_atom_site_label
_atom_site_fract_x
_atom_site_fract_y
_atom_site_fract_z
K1 0.000 0.108 0.250
Nb1 0.000 0.186 0.750
Tl1 0.132 0.422 0.163
O1 0.094 0.261 0.009
O2 0.119 0.433 0.475
O3 0.127 0.092 0.702
```

final energy: -0.44304 Ry/atom
total moment: 0.00 μB per cell



No. 7
KNbTl2O4: relaxed, PBE.

The structure in CIF format:
```
data_KNbTl2O4
_chemical_formula_sum 'K2 Nb2 Tl4 O8'
_symmetry_space_group_name_H-M 'P m n 21'
_symmetry_Int_Tables_number 31
_cell_length_a 8.051
_cell_length_b 8.314
_cell_length_c 5.913
_cell_angle_alpha 90.00
_cell_angle_beta 90.00
_cell_angle_gamma 90.00
loop_
_symmetry_equiv_pos_as_xyz
'x,y,z'
'-x+1/2,-y,z+1/2'
'-x,y,z'
'x+1/2,-y,z+1/2'
loop_
_atom_site_label
_atom_site_fract_x
_atom_site_fract_y
_atom_site_fract_z
K1 0.000 0.134 0.000
Nb1 0.000 0.877 0.487
Tl1 0.249 0.317 0.498
O1 0.000 0.103 0.526
O2 0.000 0.832 0.171
O3 0.191 0.791 0.620
```

final energy: -0.45801 Ry/atom
total moment: 0.00 μB per cell



No. 8
K2NbTlO6: relaxed, PBE.

The structure in CIF format:
```
data_K2NbTlO6
_chemical_formula_sum 'K6 Nb3 Tl3 O18'
_symmetry_space_group_name_H-M 'R -3'
_symmetry_Int_Tables_number 148
_symmetry_space_group_name_Hall '-R 3'
_cell_length_a 6.0326
_cell_length_b 6.0326
_cell_length_c 14.7761
_cell_angle_alpha 90.00
_cell_angle_beta 90.00
_cell_angle_gamma 120.00
loop_
_atom_site_label
_atom_site_fract_x
_atom_site_fract_y
_atom_site_fract_z
K1 0.0000 0.0000 0.2501
Nb1 0.0000 0.0000 0.0000
Tl1 0.0000 0.0000 0.5000
O1 0.0207 0.5093 0.7447
```

final energy: -0.43183 Ry/atom
total moment: 6.09 μB per cell



No. 9
KNb2TlO6: relaxed, PBE.

The structure in CIF format:
```
data_KNb2TlO6
_chemical_formula_sum 'K4 Nb8 Tl4 O24'
_symmetry_space_group_name_H-M 'C 1 2/c 1'
_symmetry_Int_Tables_number 15
_cell_length_a 12.171
_cell_length_b 10.902
_cell_length_c 6.528
_cell_angle_alpha 90.00
_cell_angle_beta 106.16
_cell_angle_gamma 90.00
loop_
_symmetry_equiv_pos_as_xyz
'x,y,z'
'-x,-y,-z'
'-x,y,-z+1/2'
'x,-y,z+1/2'
'x+1/2,y+1/2,z'
'-x+1/2,-y+1/2,-z'
'-x+1/2,y+1/2,-z+1/2'
'x+1/2,-y+1/2,z+1/2'
loop_
_atom_site_label
_atom_site_fract_x
_atom_site_fract_y
_atom_site_fract_z
K1 0.000 0.100 0.250
Nb1 0.218 0.415 0.247
Tl1 0.000 0.283 0.750
O1 0.126 0.104 0.674
O2 0.152 0.266 0.184
O3 0.172 0.488 0.486
```

final energy: -0.55351 Ry/atom
total moment: 0.00 μB per cell



No. 10
K3Tm3NbO8: relaxed, PBE.

The structure in CIF format:
```
data_K3Tm3NbO8
_chemical_formula_sum 'K9 Tm9 Nb3 O24'
_symmetry_space_group_name_H-M 'R -3 m'
_symmetry_Int_Tables_number 166
_symmetry_space_group_name_Hall '-R 3 2"'
_cell_length_a 6.7336
_cell_length_b 6.7336
_cell_length_c 18.7971
_cell_angle_alpha 90.00
_cell_angle_beta 90.00
_cell_angle_gamma 120.00
loop_
_atom_site_label
_atom_site_fract_x
_atom_site_fract_y
_atom_site_fract_z
K1 0.0000 0.5000 0.0000
Tm1 0.0000 0.5000 0.5000
Nb1 0.0000 0.0000 0.5000
O1 0.0000 0.0000 0.2273
O2 0.0178 0.5089 0.2232
```

final energy: -0.52769 Ry/atom
total moment: 3.03 μB per cell



No. 11
K4TmNb3O12: relaxed, PBE.

The structure in CIF format:
```
data_K4TmNb3O12
_chemical_formula_sum 'K8 Tm2 Nb6 O24'
_symmetry_space_group_name_H-M 'I m -3 m'
_symmetry_Int_Tables_number 229
_symmetry_space_group_name_Hall '-I 4 2 3'
_cell_length_a 8.302
_cell_length_b 8.302
_cell_length_c 8.302
_cell_angle_alpha 90.00
_cell_angle_beta 90.00
_cell_angle_gamma 90.00
loop_
_atom_site_label
_atom_site_fract_x
_atom_site_fract_y
_atom_site_fract_z
K1 0.250 0.250 0.250
Tm1 0.000 0.000 0.000
Nb1 0.000 0.000 0.500
O1 0.000 0.000 0.265
O2 0.000 0.250 0.500
```

final energy: -0.53406 Ry/atom
total moment: 3.75 μB per cell



No. 12
K3TmNb2O9: relaxed, PBE.

The structure in CIF format:
```
data_K3TmNb2O9
_chemical_formula_sum 'K3 Tm1 Nb2 O9'
_symmetry_space_group_name_H-M 'P -3 m 1'
_symmetry_Int_Tables_number 164
_symmetry_space_group_name_Hall '-P 3 2"'
_cell_length_a 5.9208
_cell_length_b 5.9208
_cell_length_c 7.2783
_cell_angle_alpha 90.00
_cell_angle_beta 90.00
_cell_angle_gamma 120.00
loop_
_atom_site_label
_atom_site_fract_x
_atom_site_fract_y
_atom_site_fract_z
K1 0.0000 0.0000 0.0000
K2 0.3333 0.6667 0.6732
Tm1 0.0000 0.0000 0.5000
Nb1 0.3333 0.6667 0.1771
O1 0.0000 0.5000 0.0000
O2 0.1740 0.3479 0.3185
```

final energy: -0.52626 Ry/atom
total moment: 2.04 μB per cell



| no. | E_form (uncorrected) (eV per atom) |
| --- | --- |
| 1 | -2.55 |
| 2 | -2.40 |
| 3 | -2.30 |
| 4 | -2.36 |
| 5 | -2.05 |
| 6 | -1.46 |
| 7 | -1.76 |
| 8 | -1.44 |
| 9 | -2.20 |
| 10 | -2.75 |
| 11 | -2.34 |
| 12 | -2.32 |